[1]
Computed, not measured: a relaxed TbPrCuAu crystal at the GGA-PBE level of DFT.

Summary:
Calculated formation energy: -0.5040 eV per atom
Distance to the lowest polymorph of the same formula: 0 meV per atom
M_tot: 0.0 μB per formula unit

abc: 3.8623 4.5954 5.8678
angles: 90.00 109.21 90.00
Sites, in units of the cell vectors:
Cu (0.4241, 0.0000, 0.8482)
Au (0.5788, 0.5000, 0.1576)
Pr (0.8595, 0.5000, 0.7190)
Tb (0.1376, 0.0000, 0.2752)



[2]
Computed, not measured: a relaxed Pr2Zn3CuAu4 crystal at the GGA-PBE level of DFT.

Summary:
Calculated formation energy: -0.4720 eV per atom
M_tot: 0.0 μB per formula unit

abc: 4.3451 4.3451 10.9566
angles: 90.00 90.00 90.00
Sites, in units of the cell vectors:
Zn (0.0000, 0.5000, 0.1340)
Zn (0.5000, 0.0000, 0.8660)
Zn (0.0000, 0.0000, 0.5000)
Au (0.0000, 0.0000, 0.0000)
Au (0.0000, 0.5000, 0.3657)
Au (0.5000, 0.5000, 0.0000)
Au (0.5000, 0.0000, 0.6343)
Pr (0.5000, 0.0000, 0.2535)
Pr (0.0000, 0.5000, 0.7465)
Cu (0.5000, 0.5000, 0.5000)



[3]
Computed, not measured: a relaxed PrZnCu2Au4 crystal at the GGA-PBE level of DFT.

Summary:
Calculated formation energy: -0.3065 eV per atom
M_tot: 0.0 μB per formula unit

abc: 4.4401 4.4401 9.1863
angles: 76.01 76.01 60.00
Sites, in units of the cell vectors:
Au (0.6003, 0.6003, 0.1992)
Au (0.1301, 0.1301, 0.6097)
Au (0.3997, 0.3997, 0.8008)
Au (0.8699, 0.8699, 0.3903)
Zn (0.5000, 0.5000, 0.5000)
Cu (0.2383, 0.2383, 0.2850)
Cu (0.7617, 0.7617, 0.7150)
Pr (0.0000, 0.0000, 0.0000)



[4]
Computed, not measured: a relaxed PrZn3CuAu crystal at the GGA-PBE level of DFT.

Summary:
Calculated formation energy: -0.2266 eV per atom
M_tot: 0.0 μB per formula unit

abc: 5.9324 6.0803 7.0468
angles: 115.56 90.00 90.00
Sites, in units of the cell vectors:
Zn (0.7500, 0.8658, 0.7317)
Zn (0.5000, 0.7066, 0.0000)
Zn (0.2500, 0.1342, 0.2683)
Zn (0.5000, 0.2934, 0.0000)
Zn (0.0000, 0.2934, 0.0000)
Zn (0.0000, 0.7066, 0.0000)
Cu (0.2500, 0.9390, 0.8780)
Cu (0.7500, 0.0610, 0.1220)
Pr (0.2500, 0.7207, 0.4415)
Pr (0.7500, 0.2793, 0.5585)
Au (0.7500, 0.6563, 0.3127)
Au (0.2500, 0.3437, 0.6873)



[5]
Computed, not measured: a relaxed Pr2ZnCuAu6 crystal at the GGA-PBE level of DFT.

Summary:
Calculated formation energy: -0.2502 eV per atom
M_tot: 0.0 μB per formula unit

abc: 6.8905 6.8905 6.8905
angles: 60.00 60.00 90.00
Sites, in units of the cell vectors:
Au (0.2488, 0.2488, 0.5024)
Au (0.2488, 0.7512, 0.0000)
Au (0.7512, 0.7512, 0.4976)
Au (0.2488, 0.2488, 0.0000)
Au (0.7512, 0.7512, 0.0000)
Au (0.7512, 0.2488, 0.0000)
Zn (0.5000, 0.5000, 0.0000)
Pr (0.2500, 0.7500, 0.5000)
Pr (0.7500, 0.2500, 0.5000)
Cu (0.0000, 0.0000, 0.0000)



[6]
Computed, not measured: a relaxed Cu4PtAu7 crystal at the GGA-PBE level of DFT.

Summary:
Calculated formation energy: 0.2080 eV per atom
M_tot: 0.0 μB per formula unit

abc: 5.0095 8.1799 6.0389
angles: 78.68 65.50 72.17
Sites, in units of the cell vectors:
Au (0.3548, 0.5544, 0.7360)
Au (0.9272, 0.3464, 0.7993)
Au (0.0728, 0.6536, 0.2007)
Au (0.6452, 0.4456, 0.2640)
Au (0.7906, 0.9111, 0.5077)
Au (0.5000, 0.0000, 0.0000)
Au (0.2094, 0.0889, 0.4923)
Cu (0.2801, 0.3228, 0.1171)
Cu (0.5650, 0.2295, 0.6404)
Cu (0.4350, 0.7705, 0.3596)
Cu (0.7199, 0.6772, 0.8829)
Pt (0.0000, 0.0000, 0.0000)



[7]
Computed, not measured: a relaxed Cu2PtAu2 crystal at the GGA-PBE level of DFT.

Summary:
Calculated formation energy: 0.0541 eV per atom
Distance to the lowest polymorph of the same formula: 128 meV per atom
M_tot: 0.0 μB per formula unit

abc: 4.1529 6.7927 7.3141
angles: 54.11 73.51 72.20
Sites, in units of the cell vectors:
Au (0.1615, 0.5604, 0.1165)
Au (0.8385, 0.4396, 0.8835)
Au (0.2811, 0.8119, 0.6258)
Au (0.7189, 0.1881, 0.3742)
Cu (0.9211, 0.7546, 0.4031)
Cu (0.0789, 0.2454, 0.5969)
Cu (0.4651, 0.3659, 0.7040)
Cu (0.5349, 0.6341, 0.2960)
Pt (0.3836, 0.0888, 0.1439)
Pt (0.6164, 0.9112, 0.8561)



[8]
Computed, not measured: a relaxed Cu5PtAu2 crystal at the GGA-PBE level of DFT.

Summary:
Calculated formation energy: -0.0853 eV per atom
M_tot: 0.0 μB per formula unit

abc: 3.9265 3.9265 7.8027
angles: 104.57 104.57 90.00
Sites, in units of the cell vectors:
Cu (0.5000, 0.5000, 0.0000)
Cu (0.1178, 0.6178, 0.2356)
Cu (0.3822, 0.8822, 0.7644)
Cu (0.8822, 0.3822, 0.7644)
Cu (0.6178, 0.1178, 0.2356)
Pt (0.0000, 0.0000, 0.0000)
Au (0.7510, 0.7510, 0.5020)
Au (0.2490, 0.2490, 0.4980)



[9]
Computed, not measured: a relaxed CuPtAu5 crystal at the GGA-PBE level of DFT.

Summary:
Calculated formation energy: 0.1618 eV per atom
M_tot: 0.0 μB per formula unit

abc: 8.2775 8.2775 9.6299
angles: 38.87 38.87 56.64
Sites, in units of the cell vectors:
Au (0.7679, 0.4327, 0.3583)
Au (0.5673, 0.2321, 0.1417)
Au (0.1729, 0.8271, 0.7500)
Au (0.3441, 0.0574, 0.9564)
Au (0.4327, 0.7679, 0.8583)
Au (0.0574, 0.3441, 0.4564)
Au (0.9426, 0.6559, 0.5436)
Au (0.8271, 0.1729, 0.2500)
Au (0.2321, 0.5673, 0.6417)
Au (0.6559, 0.9426, 0.0436)
Pt (0.4719, 0.5281, 0.2500)
Pt (0.5281, 0.4719, 0.7500)
Cu (0.0000, 0.0000, 0.0000)
Cu (0.0000, 0.0000, 0.5000)



[10]
Computed, not measured: a relaxed CuPt2Au crystal at the GGA-PBE level of DFT.

Summary:
Calculated formation energy: -0.0573 eV per atom
Distance to the lowest polymorph of the same formula: 48 meV per atom
M_tot: 0.0 μB per formula unit

abc: 2.7996 2.7996 7.8385
angles: 90.00 90.00 90.00
Sites, in units of the cell vectors:
Cu (0.5000, 0.5000, 0.7578)
Pt (0.5000, 0.5000, 0.2422)
Pt (0.0000, 0.0000, 0.9843)
Au (0.0000, 0.0000, 0.5157)



[11]
Computed, not measured: a relaxed CuPtAu crystal at the GGA-PBE level of DFT.

Summary:
Calculated formation energy: -0.0533 eV per atom
Distance to the lowest polymorph of the same formula: 7 meV per atom
M_tot: 0.0 μB per formula unit

abc: 2.8129 2.8129 6.7514
angles: 90.00 90.00 120.00
Sites, in units of the cell vectors:
Pt (0.6667, 0.3333, 0.6472)
Cu (0.3333, 0.6667, 0.3382)
Au (0.0000, 0.0000, 0.0147)



[12]
Computed, not measured: a relaxed Cu8PtAu3 crystal at the GGA-PBE level of DFT.

Summary:
Calculated formation energy: 0.3749 eV per atom
M_tot: 0.0 μB per formula unit

abc: 6.5118 6.5118 6.5118
angles: 96.82 116.14 116.14
Sites, in units of the cell vectors:
Cu (0.4953, 0.2354, 0.2354)
Cu (0.0000, 0.2599, 0.7646)
Cu (0.0000, 0.8938, 0.6212)
Cu (0.7273, 0.1062, 0.1062)
Cu (0.0000, 0.6212, 0.8938)
Cu (0.2727, 0.3788, 0.3788)
Cu (0.5047, 0.7401, 0.7401)
Cu (0.0000, 0.7646, 0.2599)
Au (0.5000, 0.2500, 0.7500)
Au (0.5000, 0.7500, 0.2500)
Au (0.0000, 0.5000, 0.5000)
Pt (0.0000, 0.0000, 0.0000)



[13]
Computed, not measured: a relaxed Cu2PtAu crystal at the GGA-PBE level of DFT.

Summary:
Calculated formation energy: -0.0614 eV per atom
M_tot: 0.0 μB per formula unit

abc: 8.8675 8.8675 8.8675
angles: 18.08 18.08 18.08
Sites, in units of the cell vectors:
Au (0.7500, 0.7500, 0.7500)
Pt (0.2500, 0.2500, 0.2500)
Cu (0.9981, 0.9981, 0.9981)
Cu (0.5019, 0.5019, 0.5019)



[14]
Computed, not measured: a relaxed Cu3PtAu3 crystal at the GGA-PBE level of DFT.

Summary:
Calculated formation energy: -0.0296 eV per atom
Distance to the lowest polymorph of the same formula: 0 meV per atom
M_tot: 0.0 μB per formula unit

abc: 7.3854 7.3854 6.2163
angles: 53.56 53.56 60.00
Sites, in units of the cell vectors:
Pt (0.7389, 0.7389, 0.7833)
Pt (0.2611, 0.2611, 0.2167)
Cu (0.4019, 0.8142, 0.2525)
Cu (0.4687, 0.5981, 0.7475)
Cu (0.8142, 0.5313, 0.2525)
Cu (0.1858, 0.4687, 0.7475)
Cu (0.5981, 0.1858, 0.7475)
Cu (0.5313, 0.4019, 0.2525)
Au (0.1241, 0.6734, 0.2572)
Au (0.9453, 0.1241, 0.2572)
Au (0.6734, 0.9453, 0.2572)
Au (0.3266, 0.0547, 0.7428)
Au (0.8759, 0.3266, 0.7428)
Au (0.0547, 0.8759, 0.7428)



[15]
Computed, not measured: a relaxed Cu2Pt9Au crystal at the GGA-PBE level of DFT.

Summary:
Calculated formation energy: -0.0543 eV per atom
M_tot: 0.0 μB per formula unit

abc: 3.9373 3.9373 11.8698
angles: 90.00 90.00 90.00
Sites, in units of the cell vectors:
Cu (0.0000, 0.0000, 0.3370)
Cu (0.0000, 0.0000, 0.6630)
Pt (0.0000, 0.5000, 0.5000)
Pt (0.5000, 0.5000, 0.6617)
Pt (0.5000, 0.5000, 0.3383)
Pt (0.0000, 0.5000, 0.1760)
Pt (0.5000, 0.0000, 0.8240)
Pt (0.5000, 0.0000, 0.5000)
Pt (0.5000, 0.5000, 0.0000)
Pt (0.5000, 0.0000, 0.1760)
Pt (0.0000, 0.5000, 0.8240)
Au (0.0000, 0.0000, 0.0000)



[16]
Computed, not measured: a relaxed Cu2PtAu crystal at the GGA-PBE level of DFT.

Summary:
Calculated formation energy: 0.0324 eV per atom
M_tot: 0.0 μB per formula unit

abc: 2.7197 2.7197 9.0604
angles: 90.00 90.00 117.34
Sites, in units of the cell vectors:
Cu (0.5000, 0.5000, 0.2391)
Cu (0.0000, 0.0000, 0.0166)
Au (0.5000, 0.5000, 0.7642)
Pt (0.0000, 0.0000, 0.4801)



[17]
Computed, not measured: a relaxed Cu5Pt6Au crystal at the GGA-PBE level of DFT.

Summary:
Calculated formation energy: -0.0937 eV per atom
M_tot: 0.0 μB per formula unit

abc: 3.9529 7.4543 7.2352
angles: 121.01 105.85 90.00
Sites, in units of the cell vectors:
Au (0.0000, 0.0000, 0.0000)
Pt (0.1694, 0.4305, 0.3388)
Pt (0.1694, 0.9082, 0.3388)
Pt (0.5000, 0.2692, 0.0000)
Pt (0.8306, 0.5695, 0.6612)
Pt (0.8306, 0.0918, 0.6612)
Pt (0.5000, 0.7308, 0.0000)
Cu (0.3260, 0.3260, 0.6520)
Cu (0.6636, 0.1636, 0.3271)
Cu (0.6740, 0.6740, 0.3480)
Cu (0.0000, 0.5000, 0.0000)
Cu (0.3364, 0.8364, 0.6729)



[18]
Computed, not measured: a relaxed Cu2PtAu crystal at the GGA-PBE level of DFT.

Summary:
Calculated formation energy: 0.2640 eV per atom
M_tot: 0.0 μB per formula unit

abc: 10.2850 5.8091 5.8091
angles: 27.00 27.72 27.72
Sites, in units of the cell vectors:
Cu (0.7537, 0.0000, 0.0000)
Cu (0.2463, 0.0000, 0.0000)
Au (0.5000, 0.0000, 0.0000)
Pt (0.0000, 0.0000, 0.0000)



[19]
Computed, not measured: a relaxed CuPtAu crystal at the GGA-PBE level of DFT.

Summary:
Calculated formation energy: -0.0463 eV per atom
Distance to the lowest polymorph of the same formula: 14 meV per atom
M_tot: 0.0 μB per formula unit

abc: 4.0371 3.8097 6.3029
angles: 107.78 90.00 90.00
Sites, in units of the cell vectors:
Cu (0.3139, 0.2053, 0.5983)
Cu (0.8136, 0.0277, 0.2410)
Au (0.8136, 0.6954, 0.5788)
Au (0.3135, 0.5376, 0.2604)
Pt (0.3134, 0.8636, 0.9136)
Pt (0.8135, 0.3693, 0.9256)



[20]
Computed, not measured: a relaxed Cu2PtAu crystal at the GGA-PBE level of DFT.

Summary:
Calculated formation energy: 0.0143 eV per atom
M_tot: 0.0 μB per formula unit

abc: 4.3766 4.3766 4.3748
angles: 59.99 59.99 60.00
Sites, in units of the cell vectors:
Au (0.4999, 0.4999, 0.5002)
Cu (0.0000, 0.0000, 0.9999)
Cu (0.2500, 0.2500, 0.2500)
Pt (0.7500, 0.7500, 0.7499)